{"formula": "Nb7Co6", "functional": "PBE", "state": "relaxed", "lattice_angstrom": [[2.4856, 1.4350, 8.7193], [-2.4856, 1.4350, 8.7193], [0.0000, -2.8701, 8.7193]], "species": ["Nb", "Nb", "Nb", "Nb", "Nb", "Nb", "Nb", "Co", "Co", "Co", "Co", "Co", "Co"], "frac_coords": [[0.0000, 0.0000, 0.0000], [0.1660, 0.1660, 0.1660], [0.3467, 0.3467, 0.3467], [0.4500, 0.4500, 0.4500], [0.5500, 0.5500, 0.5500], [0.6533, 0.6533, 0.6533], [0.8340, 0.8340, 0.8340], [0.0922, 0.0922, 0.5796], [0.0922, 0.5796, 0.0922], [0.4204, 0.9078, 0.9078], [0.5796, 0.0922, 0.0922], [0.9078, 0.4204, 0.9078], [0.9078, 0.9078, 0.4204]], "total_energy_ev_per_atom": -8.89, "formation_enthalpy_0k_ev_per_fu": -2.26, "total_magnetization_mub_per_fu": 0.015}